Entry 1:
The following is a DFT calculation (PBE) of Ti3Sb2H2 after structural relaxation.

extended XYZ file:
```
7
Lattice="4.9900 -1.7280 0.0000 4.9900 1.7280 0.0000 -3.6539 0.0000 5.9114" Properties=species:S:1:pos:R:3 pbc="T T T"
Ti 0.0000 0.0000 0.0000
Ti -1.0168 0.0000 4.4828
Ti 7.3429 0.0000 1.4286
Sb 1.8055 0.0000 3.7670
Sb 4.5206 0.0000 2.1444
H 1.8714 0.0000 0.4271
H 4.4548 0.0000 5.4842
```

## Properties
- energy above the most stable polymorph in this dataset (meV/atom) = 21.8
- calculated volume (A^3/atom) = 14.564
- electronic total energy (eV/atom) = -5.8736
- total magnetic moment (μB/f.u.) = 0.0
- symmetry = C2/m (12)

Entry 2:
The following is a DFT calculation (PBE) of BaHgPb2 after structural relaxation.

extended XYZ file:
```
4
Lattice="2.9513 -2.9564 0.0000 2.9513 2.9564 0.0000 0.0000 0.0000 7.7303" Properties=species:S:1:pos:R:3 pbc="T T T"
Ba 0.0000 0.0000 0.0000
Hg 0.0000 0.0000 3.8651
Pb 2.9513 0.0000 2.3233
Pb 2.9513 0.0000 5.4070
```

## Properties
- energy above the most stable polymorph in this dataset (meV/atom) = 163.3
- calculated volume (A^3/atom) = 33.724
- electronic total energy (eV/atom) = -2.6275
- total magnetic moment (μB/f.u.) = 0.0
- ΔH_f (0 K) (kJ per mole of atoms) = -21.0
- symmetry = Cmmm (65)

Entry 3:
The following is a DFT calculation (PBE) of CaSc2V2 after structural relaxation.

extended XYZ file:
```
10
Lattice="8.1852 0.0000 0.0000 0.0000 8.1852 0.0000 0.0000 0.0000 3.3077" Properties=species:S:1:pos:R:3 pbc="T T T"
Ca 0.0000 0.0000 0.0000
Ca 4.0926 4.0926 0.0000
Sc 1.6104 2.4822 1.6538
Sc 2.4822 6.5748 1.6538
Sc 5.7030 1.6104 1.6538
Sc 6.5748 5.7030 1.6538
V 0.6942 4.7868 0.0000
V 3.3984 0.6942 0.0000
V 4.7868 7.4910 0.0000
V 7.4910 3.3984 0.0000
```

## Properties
- calculated volume (A^3/atom) = 22.161
- electronic total energy (eV/atom) = -6.2488
- total magnetic moment (μB/f.u.) = 0.4
- ΔH_f (0 K) (kJ per mole of atoms) = 32.0
- symmetry = P4/mbm (127)

Entry 4:
The following is a DFT calculation (PBE) of Ce2NbAsN5 after structural relaxation.

extended XYZ file:
```
18
Lattice="1.6929 -7.0563 0.0000 1.6929 7.0563 0.0000 0.0000 0.0000 10.0228" Properties=species:S:1:pos:R:3 pbc="T T T"
Ce 1.6929 5.4159 5.0114
Ce 1.6929 5.1000 1.1330
Ce 1.6929 -5.1000 6.1444
Ce 1.6929 -5.4159 0.0000
Nb 1.6929 4.0025 8.3124
Nb 1.6929 -4.0025 3.3010
As 1.6929 0.6321 2.6709
As 1.6929 -0.6321 7.6823
N 1.6929 6.4032 8.6045
N 1.6929 3.0028 4.7192
N 1.6929 2.4819 1.9081
N 1.6929 2.0575 8.2384
N 1.6929 0.1079 6.0126
N 1.6929 -0.1079 1.0012
N 1.6929 -2.0575 3.2270
N 1.6929 -2.4819 6.9195
N 1.6929 -3.0028 9.7306
N 1.6929 -6.4032 3.5931
```

## Properties
- calculated volume (A^3/atom) = 13.303
- electronic total energy (eV/atom) = -8.3576
- total magnetic moment (μB/f.u.) = 0.8
- symmetry = Cmc2_1 (36)
- formation energy from raw total energies (eV/atom) = -0.778

Entry 5:
The following is a DFT calculation (PBE) of PmMgSb2 after structural relaxation.

extended XYZ file:
```
4
Lattice="4.0118 0.0000 0.0000 0.0000 4.0118 0.0000 0.0000 0.0000 6.6184" Properties=species:S:1:pos:R:3 pbc="T T T"
Pm 0.0000 0.0000 0.0000
Mg 0.0000 0.0000 3.3092
Sb 2.0059 2.0059 1.7041
Sb 2.0059 2.0059 4.9143
```

## Properties
- energy above the most stable polymorph in this dataset (meV/atom) = 151.5
- calculated volume (A^3/atom) = 26.631
- electronic total energy (eV/atom) = -4.2015
- total magnetic moment (μB/f.u.) = 0.0
- symmetry = P4/mmm (123)
- formation energy from raw total energies (eV/atom) = -0.554

Entry 6:
The following is a DFT calculation (PBE) of Mg2TcBr after structural relaxation.

extended XYZ file:
```
4
Lattice="5.2989 -1.5108 0.0000 5.2989 1.5108 0.0000 -1.3670 0.0000 4.9147" Properties=species:S:1:pos:R:3 pbc="T T T"
Mg 0.0000 0.0000 0.0000
Mg 1.2316 0.0000 3.1554
Tc 4.2023 0.0000 2.5512
Br 8.0452 0.0000 1.0415
```

## Properties
- energy above the most stable polymorph in this dataset (meV/atom) = 154.4
- calculated volume (A^3/atom) = 19.673
- electronic total energy (eV/atom) = -3.6820
- total magnetic moment (μB/f.u.) = 0.0
- symmetry = Cm (8)
- formation energy from raw total energies (eV/atom) = 0.125

Entry 7:
The following is a DFT calculation (PBE) of YSn2F after structural relaxation.

extended XYZ file:
```
4
Lattice="0.0000 3.6276 3.6276 3.6276 0.0000 3.6276 3.6276 3.6276 0.0000" Properties=species:S:1:pos:R:3 pbc="T T T"
Y 0.0000 0.0000 0.0000
Sn 1.8138 1.8138 1.8138
Sn 5.4414 5.4414 5.4414
F 3.6276 3.6276 3.6276
```

## Properties
- energy above the most stable polymorph in this dataset (meV/atom) = 0.0
- calculated volume (A^3/atom) = 23.869
- electronic total energy (eV/atom) = -4.7406
- total magnetic moment (μB/f.u.) = 0.0
- symmetry = Fm-3m (225)
- formation energy from raw total energies (eV/atom) = -0.655

Entry 8:
The following is a DFT calculation (PBE) of TlPt3Se after structural relaxation.

extended XYZ file:
```
5
Lattice="5.0404 0.0000 0.0000 0.0000 5.0404 0.0000 0.0000 0.0000 5.0404" Properties=species:S:1:pos:R:3 pbc="T T T"
Tl 0.0000 0.0000 0.0000
Pt 0.0000 0.0000 2.5202
Pt 0.0000 2.5202 0.0000
Pt 2.5202 0.0000 0.0000
Se 2.5202 2.5202 2.5202
```

## Properties
- energy above the most stable polymorph in this dataset (meV/atom) = 1003.6
- calculated volume (A^3/atom) = 25.611
- electronic total energy (eV/atom) = -3.3651
- total magnetic moment (μB/f.u.) = 0.0
- symmetry = Pm-3m (221)
- formation energy from raw total energies (eV/atom) = 1.430

Entry 9:
The following is a DFT calculation (PBE) of Cs2UHg2Te4 after structural relaxation.

extended XYZ file:
```
9
Lattice="9.3438 -2.2097 0.0000 9.3438 2.2097 0.0000 -4.1043 0.0000 8.5186" Properties=species:S:1:pos:R:3 pbc="T T T"
Cs 2.1114 0.0000 0.7103
Cs 12.4720 0.0000 7.8083
U -2.0521 0.0000 4.2593
Hg 3.6616 0.0000 4.1024
Hg 10.9218 0.0000 4.4161
Te 0.2230 0.0000 6.1615
Te 6.0165 0.0000 6.0315
Te 8.5669 0.0000 2.4871
Te 14.3604 0.0000 2.3570
```

## Properties
- calculated volume (A^3/atom) = 39.086
- electronic total energy (eV/atom) = -3.5385
- total magnetic moment (μB/f.u.) = 1.6
- symmetry = C2/m (12)
- formation energy from raw total energies (eV/atom) = -0.631

Entry 10:
The following is a DFT calculation (PBE) of CaReBr2 after structural relaxation.

extended XYZ file:
```
4
Lattice="-2.0146 2.0146 6.0653 2.0146 -2.0146 6.0653 2.0146 2.0146 -6.0653" Properties=species:S:1:pos:R:3 pbc="T T T"
Ca 0.0000 0.0000 0.0000
Re 2.0146 0.0000 3.0327
Br 0.0000 0.0000 6.0653
Br 0.0000 2.0146 3.0327
```

## Properties
- energy above the most stable polymorph in this dataset (meV/atom) = 418.6
- calculated volume (A^3/atom) = 24.616
- electronic total energy (eV/atom) = -4.0636
- total magnetic moment (μB/f.u.) = 3.1
- symmetry = I-4m2 (119)
- formation energy from raw total energies (eV/atom) = 0.385

Entry 11:
The following is a DFT calculation (PBE) of HfVP2S after structural relaxation.

extended XYZ file:
```
5
Lattice="4.5916 0.0000 0.0000 0.0000 4.5916 0.0000 0.0000 0.0000 4.3354" Properties=species:S:1:pos:R:3 pbc="T T T"
Hf 0.0000 0.0000 0.0000
V 2.2958 2.2958 2.1677
P 0.0000 2.2958 2.1677
P 2.2958 0.0000 2.1677
S 2.2958 2.2958 0.0000
```

## Properties
- energy above the most stable polymorph in this dataset (meV/atom) = 0.0
- calculated volume (A^3/atom) = 18.281
- electronic total energy (eV/atom) = -6.7103
- total magnetic moment (μB/f.u.) = 0.0
- symmetry = P4/mmm (123)
- formation energy from raw total energies (eV/atom) = 0.094

What is the total magnetic moment in the eighth record?
0.0 μB/f.u.

What is the formula in the fifth record?
PmMgSb2